A plane-wave DFT calculation with PBE was carried out for a relaxed structure of BeTcS2I.

Structure (POSCAR):
```
BeTcS2I
1.0
5.2214 0.0000 0.0000
0.0000 5.2214 0.0000
0.0000 0.0000 5.0507
Be Tc S I
1 1 2 1
Direct
0.0000 0.0000 0.0000
0.5000 0.5000 0.0000
0.0000 0.5000 0.5000
0.5000 0.0000 0.5000
0.5000 0.5000 0.5000
```

Output
Its formation energy without anion corrections is 184 kJ/mol of atoms. The value obtained for the density of states at the Fermi level is 4.22 states/eV/cell. The value obtained for the total DFT energy (no corrections) is -2.8682 eV/atom. Its calculated volume is 138 Å³/cell. The space-group type is P4/mmm.